A relaxed BaTlPb2 crystal, computed with PBEsol. Values from VASP.

```
&SYSTEM
  ibrav = 0, nat = 4, ntyp = 3
/
ATOMIC_SPECIES
Ba 137.33 Ba.upf
Tl 204.38 Tl.upf
Pb 207.20 Pb.upf
CELL_PARAMETERS angstrom
4.978 0.000 0.000
0.000 4.978 0.000
0.000 0.000 5.087
ATOMIC_POSITIONS angstrom
Ba 0.000 0.000 0.000
Tl 2.489 2.489 0.000
Pb 0.000 2.489 2.543
Pb 2.489 0.000 2.543
```

Energy above the lowest structure with this stoichiometry ... 0 meV per atom
Symmetry ... P4/mmm (123)
Energy of formation from the pure elements ... -34 kJ/mol of atoms